1.
NbSbI2Cl | GGA-PBE | relaxed Values from VASP.

The structure in Quantum ESPRESSO input format:
```
&SYSTEM
  ibrav = 0, nat = 5, ntyp = 4
/
ATOMIC_SPECIES
I 126.90 I.upf
Cl 35.45 Cl.upf
Sb 121.76 Sb.upf
Nb 92.91 Nb.upf
CELL_PARAMETERS angstrom
-4.230 -1.660 -3.639
-2.023 -3.682 4.030
-3.047 3.703 1.853
ATOMIC_POSITIONS angstrom
I -1.011 -1.841 2.015
Cl 0.000 0.000 0.000
Sb -1.524 1.851 0.927
I -2.115 -0.830 -1.820
Nb -4.650 -0.819 1.122
```



2.
NbSbI2Cl | GGA-PBE | relaxed Values from VASP.

The structure in Quantum ESPRESSO input format:
```
&SYSTEM
  ibrav = 0, nat = 5, ntyp = 4
/
ATOMIC_SPECIES
Sb 121.76 Sb.upf
I 126.90 I.upf
Cl 35.45 Cl.upf
Nb 92.91 Nb.upf
CELL_PARAMETERS angstrom
5.437 0.000 0.000
0.000 5.437 0.000
0.000 0.000 5.537
ATOMIC_POSITIONS angstrom
Sb 0.000 0.000 2.769
I 2.718 0.000 0.000
Cl 2.718 2.718 2.769
Nb 0.000 0.000 0.000
I 0.000 2.718 0.000
```



Of them, the most stable is 2 and the least stable is 1.



1.
NdICl | GGA-PBE | relaxed Values from VASP.

The structure in Quantum ESPRESSO input format:
```
&SYSTEM
  ibrav = 0, nat = 3, ntyp = 3
/
ATOMIC_SPECIES
Cl 35.45 Cl.upf
I 126.90 I.upf
Nd 144.24 Nd.upf
CELL_PARAMETERS angstrom
-2.372 2.437 1.496
0.563 -1.507 3.348
6.434 4.200 -1.253
ATOMIC_POSITIONS angstrom
Cl 3.107 2.621 0.657
I 0.472 0.398 0.100
Nd 1.047 2.110 2.835
```



2.
NdICl | GGA-PBE | relaxed Values from VASP.

The structure in Quantum ESPRESSO input format:
```
&SYSTEM
  ibrav = 0, nat = 3, ntyp = 3
/
ATOMIC_SPECIES
Cl 35.45 Cl.upf
I 126.90 I.upf
Nd 144.24 Nd.upf
CELL_PARAMETERS angstrom
4.078 0.000 0.000
-2.039 3.532 0.000
0.000 0.000 7.696
ATOMIC_POSITIONS angstrom
Cl 0.000 2.354 4.379
I 0.000 0.000 0.605
Nd 2.039 1.177 2.711
```



3.
NdICl | GGA-PBE | relaxed Values from VASP.

The structure in Quantum ESPRESSO input format:
```
&SYSTEM
  ibrav = 0, nat = 6, ntyp = 3
/
ATOMIC_SPECIES
Cl 35.45 Cl.upf
I 126.90 I.upf
Nd 144.24 Nd.upf
CELL_PARAMETERS angstrom
-0.433 2.749 2.975
-2.402 -0.810 3.190
11.413 -5.499 9.673
ATOMIC_POSITIONS angstrom
Cl 3.448 -0.631 5.105
Cl 4.998 -3.492 8.046
I 7.542 -2.280 12.876
Nd 6.815 -2.063 9.780
I 0.469 0.904 3.252
Nd 1.196 0.689 6.347
```



Of them, the most stable is 3 and the least stable is 1.



1.
NdICl | GGA-PBE | relaxed Values from VASP.

The structure in Quantum ESPRESSO input format:
```
&SYSTEM
  ibrav = 0, nat = 6, ntyp = 3
/
ATOMIC_SPECIES
Nd 144.24 Nd.upf
I 126.90 I.upf
Cl 35.45 Cl.upf
CELL_PARAMETERS angstrom
-0.753 -3.731 1.527
3.147 -2.889 -5.509
8.662 -3.536 0.861
ATOMIC_POSITIONS angstrom
Nd 4.914 -3.412 -0.545
Nd 6.143 -6.744 -2.577
I 9.075 -7.661 -3.371
Cl 7.397 -4.349 -1.613
Cl 3.660 -5.806 -1.509
I 1.981 -2.495 0.249
```



2.
NdICl | GGA-PBE | relaxed Values from VASP.

The structure in Quantum ESPRESSO input format:
```
&SYSTEM
  ibrav = 0, nat = 6, ntyp = 3
/
ATOMIC_SPECIES
I 126.90 I.upf
Cl 35.45 Cl.upf
Nd 144.24 Nd.upf
CELL_PARAMETERS angstrom
5.183 0.000 -0.100
0.000 5.185 0.000
-1.418 0.000 8.037
ATOMIC_POSITIONS angstrom
I 0.626 3.889 6.075
Cl 3.207 1.296 5.390
Nd 0.587 1.296 3.994
I 3.138 1.296 1.863
Cl 0.558 3.889 2.547
Nd 3.177 3.889 3.944
```



Of them, the most stable is 2 and the least stable is 1.